Entry from Alexandria via LeMat-Bulk: a geometry-optimized Cs2Na2As3 structure (PBE-GGA).

Cell and atoms, written as extended XYZ:
```
7
Lattice="6.4066 -2.5932 0.0000 6.4066 2.5932 0.0000 -3.5518 0.0000 6.5555" Properties=species:S:1:pos:R:3 pbc="T T T"
Cs 0.8866 0.0000 2.0168
Cs 8.3748 0.0000 4.5387
Na -0.9779 0.0000 5.2134
Na 10.2392 0.0000 1.3421
As 5.2529 0.0000 0.4907
As 4.6307 0.0000 3.2777
As 4.0084 0.0000 6.0648
```

Properties
Total magnetization ... 0.0 μB/f.u.
ΔE_f ... -0.321 eV/atom